# Hf2Al2Cu3Pd, relaxed, DFT PBE-GGA
data_Hf2Al2Cu3Pd
_chemical_formula_sum 'Hf2 Al2 Cu3 Pd1'
_cell_length_a 4.2335
_cell_length_b 4.2335
_cell_length_c 8.0730
_cell_angle_alpha 90.00
_cell_angle_beta 90.00
_cell_angle_gamma 120.00
_symmetry_space_group_name_H-M 'P 3 m 1'
_symmetry_Int_Tables_number 156
_symmetry_space_group_name_Hall 'P 3 -2"'
loop_
_atom_site_label
_atom_site_fract_x
_atom_site_fract_y
_atom_site_fract_z
Hf1 0.0000 0.0000 0.0000
Hf2 0.3333 0.6667 0.4919
Al1 0.6667 0.3333 0.2414
Al2 0.6667 0.3333 0.7501
Cu1 0.0000 0.0000 0.3298
Cu2 0.3333 0.6667 0.1551
Cu3 0.3333 0.6667 0.8364
Pd1 0.0000 0.0000 0.6611
# size of the total moment	0.004	μB per formula unit
# energy relative to the lowest polymorph listed for this composition	0.021	eV/atom
# calculated total energy	-0.2171	Ha/atom
# crystal system	trigonal